A geometry-optimized La2BeRe structure. Source: the Alexandria database, functional PBE.

Cell lengths 5.841, 5.841, 4.879 Å; angles 65.34, 65.34, 36.48 degrees
Sites, in units of the cell vectors:
Re 0.447 0.447 0.553
La 0.020 0.020 0.979
Be 0.807 0.807 0.694
La 0.226 0.226 0.274

Summary:
For the formation enthalpy at 0 K, the calculation gives 218 meV/atom. Its space group is Imm2 (44). The calculation puts the density of states at the Fermi level at 3.96 states/eV/f.u. The calculation puts the calculated total energy at -6.29 eV/atom.